PmMn2PN (PBE, optimized geometry); raw formation energy = -90 kJ per mole of atoms; SG = Cmcm, No. 63; total magnetization = 1.59 μB/f.u.; V = 13.3 Å³ per atom; calculated density = 7.50 g/cm3
1.0
1.848 -5.246 0.000
1.848 5.246 0.000
0.000 0.000 6.850
Pm Mn P N
2 4 2 2
direct
0.044 0.956 0.750
0.956 0.044 0.250
0.330 0.670 0.557
0.330 0.670 0.943
0.670 0.330 0.057
0.670 0.330 0.443
0.231 0.769 0.250
0.769 0.231 0.750
0.500 0.500 0.000
0.500 0.500 0.500

PrMn2PN (PBE, optimized geometry); raw formation energy = -85 kJ per mole of atoms; SG = Cmcm, No. 63; total magnetization = 1.68 μB/f.u.; V = 13.6 Å³ per atom; calculated density = 7.21 g/cm3
1.0
1.875 -5.271 0.000
1.875 5.271 0.000
0.000 0.000 6.896
Pr Mn P N
2 4 2 2
direct
0.045 0.955 0.750
0.955 0.045 0.250
0.330 0.670 0.557
0.330 0.670 0.943
0.670 0.330 0.057
0.670 0.330 0.443
0.231 0.769 0.250
0.769 0.231 0.750
0.500 0.500 0.000
0.500 0.500 0.500

RbMnPN (PBE, optimized geometry); raw formation energy = -10 kJ per mole of atoms; energy relative to the lowest polymorph listed for this composition = 31 meV per atom; SG = Amm2, No. 38; total magnetization = 2.90 μB/f.u.; V = 22.8 Å³ per atom; calculated density = 3.37 g/cm3
1.0
5.123 0.000 0.000
0.000 1.886 4.724
0.000 -1.886 4.724
Rb Mn P N
1 1 1 1
direct
0.000 0.000 0.000
0.500 0.304 0.304
0.500 0.666 0.666
0.500 0.492 0.492

RbMnPN (PBE, optimized geometry); raw formation energy = -11 kJ per mole of atoms; energy relative to the lowest polymorph listed for this composition = 16 meV per atom; SG = Cm, No. 8; total magnetization = 2.79 μB/f.u.; V = 20.2 Å³ per atom; calculated density = 3.82 g/cm3
1.0
3.769 -1.793 0.000
3.769 1.793 0.000
-0.810 0.000 5.970
Rb Mn P N
1 1 1 1
direct
0.000 0.000 0.000
0.693 0.693 0.543
0.380 0.380 0.452
0.239 0.239 0.664